A relaxed structure of Ho4InIr2, computed with PBE.

abc: 6.8382 6.8917 8.6403
angles: 107.84 107.63 103.48
Closest atoms and distances in Å follow each position.
Atoms (fractional coordinates):
Ho1 0.0000 0.0000 0.0000  3 Ir 2.76-2.98, 1 In 3.08
Ho2 0.0400 0.7130 0.5836  3 Ir 2.74-2.97
Ho3 0.2902 0.1348 0.4519  4 Ir 2.78-3.07
Ho4 0.3954 0.5678 0.2937  3 Ir 2.74-2.97
Ho5 0.4539 0.5807 0.8591  3 Ir 2.83-2.94, 1 In 3.13
Ho6 0.5333 0.1600 0.0177  3 Ir 2.83-2.94, 1 In 3.13
Ho7 0.7770 0.1219 0.4254  4 Ir 2.78-3.07
Ho8 0.9388 0.4389 0.8777  3 Ir 2.76-2.98, 1 In 3.08
In1 0.5959 0.9204 0.6744  1 Ir 2.87, 3 Ho 3.07-3.13
In2 0.8594 0.6846 0.2028  1 Ir 2.87, 3 Ho 3.07-3.13
Ir1 0.1439 0.1637 0.7554  7 Ho 2.76-3.06
Ir2 0.3275 0.8470 0.1219  7 Ho 2.76-3.06
Ir3 0.6617 0.5106 0.6069  5 Ho 2.74-2.97, 1 In 2.87
Ir4 0.9936 0.3427 0.2704  5 Ho 2.74-2.97, 1 In 2.87

Symmetry   P1 (1)
Electronic total energy   -6.188 eV per atom